(1)
Density functional theory data (PBE-GGA) for CeSmInPt after structural relaxation.

Values from the calculation:
Raw total energy, eV per formula unit: -21.793
Energy relative to the elements, meV/atom: -590
Calculated volume, Å³ per atom: 25.58

Geometry as CIF:
```
data_CeSmInPt
_chemical_formula_sum 'Ce4 Sm4 In4 Pt4'
_cell_length_a 7.4245
_cell_length_b 7.4245
_cell_length_c 7.4245
_cell_angle_alpha 90.00
_cell_angle_beta 90.00
_cell_angle_gamma 90.00
_symmetry_space_group_name_H-M 'F -4 3 m'
_symmetry_Int_Tables_number 216
_symmetry_space_group_name_Hall 'F -4 2 3'
loop_
_atom_site_label
_atom_site_type_symbol
_atom_site_fract_x
_atom_site_fract_y
_atom_site_fract_z
Ce1 Ce 0.0000 0.0000 0.0000
Sm1 Sm 0.0000 0.0000 0.5000
In1 In 0.2500 0.2500 0.7500
Pt1 Pt 0.2500 0.2500 0.2500
```

=====

(2)
Density functional theory data (PBE-GGA) for HoTl2As2O6 after structural relaxation.

Values from the calculation:
Raw total energy, eV per formula unit: -66.019
Calculated volume, Å³ per atom: 18.13

Geometry as CIF:
```
data_HoTl2As2O6
_chemical_formula_sum 'Ho2 Tl4 As4 O12'
_cell_length_a 9.9378
_cell_length_b 6.0180
_cell_length_c 7.4338
_cell_angle_alpha 90.00
_cell_angle_beta 116.21
_cell_angle_gamma 90.00
_symmetry_space_group_name_H-M 'C 1 2/m 1'
_symmetry_Int_Tables_number 12
loop_
_symmetry_equiv_pos_as_xyz
'x,y,z'
'-x,-y,-z'
'-x,y,-z'
'x,-y,z'
'x+1/2,y+1/2,z'
'-x+1/2,-y+1/2,-z'
'-x+1/2,y+1/2,-z'
'x+1/2,-y+1/2,z'
loop_
_atom_site_label
_atom_site_type_symbol
_atom_site_fract_x
_atom_site_fract_y
_atom_site_fract_z
Ho1 Ho 0.0000 0.0000 0.0000
Tl1 Tl 0.2142 0.0000 0.6911
As1 As 0.0648 0.5000 0.7293
O1 O 0.0283 0.2718 0.2251
O2 O 0.2484 0.0000 0.0809
```

=====

(3)
Density functional theory data (PBE-GGA) for Er2PuS3 after structural relaxation.

Values from the calculation:
Raw total energy, eV per formula unit: -47.385
Calculated volume, Å³ per atom: 20.85

Geometry as CIF:
```
data_Er2PuS3
_chemical_formula_sum 'Er4 Pu2 S6'
_cell_length_a 3.8836
_cell_length_b 5.4963
_cell_length_c 11.7208
_cell_angle_alpha 90.00
_cell_angle_beta 90.00
_cell_angle_gamma 90.00
_symmetry_space_group_name_H-M 'I m m m'
_symmetry_Int_Tables_number 71
_symmetry_space_group_name_Hall '-I 2 2'
loop_
_atom_site_label
_atom_site_type_symbol
_atom_site_fract_x
_atom_site_fract_y
_atom_site_fract_z
Er1 Er 0.0000 0.0000 0.1666
Pu1 Pu 0.0000 0.0000 0.5000
S1 S 0.0000 0.5000 0.1702
S2 S 0.0000 0.5000 0.5000
```

=====

(4)
Density functional theory data (PBE-GGA) for Cs2BaCl2F2 after structural relaxation.

Values from the calculation:
Raw total energy, eV per formula unit: -30.000
Calculated volume, Å³ per atom: 34.29

Geometry as CIF:
```
data_Cs2BaCl2F2
_chemical_formula_sum 'Cs4 Ba2 Cl4 F4'
_cell_length_a 5.1194
_cell_length_b 5.1194
_cell_length_c 18.3164
_cell_angle_alpha 90.00
_cell_angle_beta 90.00
_cell_angle_gamma 90.00
_symmetry_space_group_name_H-M 'I 4/m m m'
_symmetry_Int_Tables_number 139
_symmetry_space_group_name_Hall '-I 4 2'
loop_
_atom_site_label
_atom_site_type_symbol
_atom_site_fract_x
_atom_site_fract_y
_atom_site_fract_z
Cs1 Cs 0.0000 0.0000 0.1414
Ba1 Ba 0.0000 0.0000 0.5000
Cl1 Cl 0.0000 0.0000 0.3303
F1 F 0.0000 0.5000 0.0000
```

=====

(5)
Density functional theory data (PBE-GGA) for Cs3Rb3CoCl8 after structural relaxation.

Values from the calculation:
Raw total energy, eV per formula unit: -52.037
Calculated volume, Å³ per atom: 39.80

Geometry as CIF:
```
data_Cs3Rb3CoCl8
_chemical_formula_sum 'Cs6 Rb6 Co2 Cl16'
_cell_length_a 16.1985
_cell_length_b 9.3518
_cell_length_c 9.5525
_cell_angle_alpha 90.00
_cell_angle_beta 124.41
_cell_angle_gamma 90.00
_symmetry_space_group_name_H-M 'C 1 2/m 1'
_symmetry_Int_Tables_number 12
loop_
_symmetry_equiv_pos_as_xyz
'x,y,z'
'-x,-y,-z'
'-x,y,-z'
'x,-y,z'
'x+1/2,y+1/2,z'
'-x+1/2,-y+1/2,-z'
'-x+1/2,y+1/2,-z'
'x+1/2,-y+1/2,z'
loop_
_atom_site_label
_atom_site_type_symbol
_atom_site_fract_x
_atom_site_fract_y
_atom_site_fract_z
Cs1 Cs 0.0000 0.0000 0.0000
Cs2 Cs 0.2500 0.2500 0.0000
Rb1 Rb 0.0000 0.5000 0.5000
Rb2 Rb 0.2500 0.2500 0.5000
Co1 Co 0.0000 0.0000 0.5000
Cl1 Cl 0.0036 0.1934 0.3175
Cl2 Cl 0.1906 0.0000 0.6832
Cl3 Cl 0.2444 0.5000 0.7334
```

=====

(6)
Density functional theory data (PBE-GGA) for Ta2Ti3C4 after structural relaxation.

Values from the calculation:
Raw total energy, eV per formula unit: -91.119
Energy relative to the elements, meV/atom: -759
Calculated volume, Å³ per atom: 11.68

Geometry as CIF:
```
data_Ta2Ti3C4
_chemical_formula_sum 'Ta4 Ti6 C8'
_cell_length_a 10.2302
_cell_length_b 3.1202
_cell_length_c 7.5487
_cell_angle_alpha 90.00
_cell_angle_beta 119.29
_cell_angle_gamma 90.00
_symmetry_space_group_name_H-M 'C 1 2/m 1'
_symmetry_Int_Tables_number 12
loop_
_symmetry_equiv_pos_as_xyz
'x,y,z'
'-x,-y,-z'
'-x,y,-z'
'x,-y,z'
'x+1/2,y+1/2,z'
'-x+1/2,-y+1/2,-z'
'-x+1/2,y+1/2,-z'
'x+1/2,-y+1/2,z'
loop_
_atom_site_label
_atom_site_type_symbol
_atom_site_fract_x
_atom_site_fract_y
_atom_site_fract_z
Ta1 Ta 0.1030 0.0000 0.3892
Ti1 Ti 0.0000 0.5000 0.0000
Ti2 Ti 0.2058 0.5000 0.8121
C1 C 0.1017 0.0000 0.8995
C2 C 0.1998 0.5000 0.2991
```

=====

(7)
Density functional theory data (PBE-GGA) for SmY4Er2 after structural relaxation.

Values from the calculation:
Raw total energy, eV per formula unit: -39.499
Energy relative to the elements, meV/atom: 29
Calculated volume, Å³ per atom: 32.18

Geometry as CIF:
```
data_SmY4Er2
_chemical_formula_sum 'Sm2 Y8 Er4'
_cell_length_a 16.6795
_cell_length_b 3.5444
_cell_length_c 8.7447
_cell_angle_alpha 90.00
_cell_angle_beta 119.37
_cell_angle_gamma 90.00
_symmetry_space_group_name_H-M 'C 1 2/m 1'
_symmetry_Int_Tables_number 12
loop_
_symmetry_equiv_pos_as_xyz
'x,y,z'
'-x,-y,-z'
'-x,y,-z'
'x,-y,z'
'x+1/2,y+1/2,z'
'-x+1/2,-y+1/2,-z'
'-x+1/2,y+1/2,-z'
'x+1/2,-y+1/2,z'
loop_
_atom_site_label
_atom_site_type_symbol
_atom_site_fract_x
_atom_site_fract_y
_atom_site_fract_z
Sm1 Sm 0.0000 0.0000 0.0000
Y1 Y 0.1400 0.5000 0.8312
Y2 Y 0.2046 0.5000 0.2937
Er1 Er 0.0703 0.0000 0.4302
```

=====

(8)
Density functional theory data (PBE-GGA) for TbSmTeC after structural relaxation.

Values from the calculation:
Raw total energy, eV per formula unit: -24.904
Calculated volume, Å³ per atom: 23.38

Geometry as CIF:
```
data_TbSmTeC
_chemical_formula_sum 'Tb3 Sm3 Te3 C3'
_cell_length_a 3.8708
_cell_length_b 3.8708
_cell_length_c 21.6184
_cell_angle_alpha 90.00
_cell_angle_beta 90.00
_cell_angle_gamma 120.00
_symmetry_space_group_name_H-M 'R 3 m'
_symmetry_Int_Tables_number 160
_symmetry_space_group_name_Hall 'R 3 -2"'
loop_
_atom_site_label
_atom_site_type_symbol
_atom_site_fract_x
_atom_site_fract_y
_atom_site_fract_z
Tb1 Tb 0.0000 0.0000 0.0000
Sm1 Sm 0.0000 0.0000 0.2081
Te1 Te 0.0000 0.0000 0.4352
C1 C 0.0000 0.0000 0.6060
```

=====

(9)
Density functional theory data (PBE-GGA) for La4SnPbC after structural relaxation.

Values from the calculation:
Raw total energy, eV per formula unit: -40.183
Energy relative to the elements, meV/atom: -506
Calculated volume, Å³ per atom: 31.93

Geometry as CIF:
```
data_La4SnPbC
_chemical_formula_sum 'La16 Sn4 Pb4 C4'
_cell_length_a 7.1840
_cell_length_b 17.2945
_cell_length_c 7.1953
_cell_angle_alpha 90.00
_cell_angle_beta 90.00
_cell_angle_gamma 90.00
_symmetry_space_group_name_H-M 'C m c m'
_symmetry_Int_Tables_number 63
_symmetry_space_group_name_Hall '-C 2c 2'
loop_
_atom_site_label
_atom_site_type_symbol
_atom_site_fract_x
_atom_site_fract_y
_atom_site_fract_z
La1 La 0.0000 0.0785 0.2500
La2 La 0.0000 0.4123 0.2500
La3 La 0.2500 0.2500 0.0000
Sn1 Sn 0.0000 0.1109 0.7500
Pb1 Pb 0.0000 0.3895 0.7500
C1 C 0.0000 0.2692 0.2500
```

=====

(10)
Density functional theory data (PBE-GGA) for KLiBe2 after structural relaxation.

Values from the calculation:
Raw total energy, eV per formula unit: -8.402
Energy relative to the elements, meV/atom: 515
Calculated volume, Å³ per atom: 21.70

Geometry as CIF:
```
data_KLiBe2
_chemical_formula_sum 'K2 Li2 Be4'
_cell_length_a 7.0824
_cell_length_b 4.0772
_cell_length_c 6.4464
_cell_angle_alpha 90.00
_cell_angle_beta 111.15
_cell_angle_gamma 90.00
_symmetry_space_group_name_H-M 'C 1 m 1'
_symmetry_Int_Tables_number 8
loop_
_symmetry_equiv_pos_as_xyz
'x,y,z'
'x,-y,z'
'x+1/2,y+1/2,z'
'x+1/2,-y+1/2,z'
loop_
_atom_site_label
_atom_site_type_symbol
_atom_site_fract_x
_atom_site_fract_y
_atom_site_fract_z
K1 K 0.0000 0.0000 0.0000
Li1 Li 0.3224 0.5000 0.4631
Be1 Be 0.0192 0.5000 0.5545
Be2 Be 0.1887 0.0000 0.5633
```

=====

(11)
Density functional theory data (PBE-GGA) for SmY15O24 after structural relaxation.

Values from the calculation:
Raw total energy, eV per formula unit: -362.464
Calculated volume, Å³ per atom: 15.40

Geometry as CIF:
```
data_SmY15O24
_chemical_formula_sum 'Sm2 Y30 O48'
_cell_length_a 15.1413
_cell_length_b 10.7249
_cell_length_c 10.7168
_cell_angle_alpha 90.00
_cell_angle_beta 134.93
_cell_angle_gamma 90.00
_symmetry_space_group_name_H-M 'C 1 2 1'
_symmetry_Int_Tables_number 5
loop_
_symmetry_equiv_pos_as_xyz
'x,y,z'
'-x,y,-z'
'x+1/2,y+1/2,z'
'-x+1/2,y+1/2,-z'
loop_
_atom_site_label
_atom_site_type_symbol
_atom_site_fract_x
_atom_site_fract_y
_atom_site_fract_z
Sm1 Sm 0.0000 0.0000 0.0000
Y1 Y 0.0000 0.4354 0.5000
Y2 Y 0.0000 0.5011 0.0000
Y3 Y 0.0000 0.9358 0.5000
Y4 Y 0.0333 0.2191 0.7828
Y5 Y 0.0326 0.7174 0.2834
Y6 Y 0.2491 0.2173 0.7483
Y7 Y 0.2492 0.4678 0.5311
Y8 Y 0.2493 0.7191 0.7491
Y9 Y 0.2496 0.4686 0.0328
O1 O 0.1089 0.0884 0.7071
O2 O 0.1091 0.3484 0.0110
O3 O 0.1089 0.5885 0.5110
O4 O 0.1115 0.8454 0.2122
O5 O 0.1191 0.3170 0.4786
O6 O 0.1202 0.6204 0.9798
O7 O 0.1200 0.8172 0.7611
O8 O 0.1220 0.1209 0.2657
O9 O 0.1513 0.5762 0.2811
O10 O 0.1514 0.8592 0.5220
O11 O 0.1524 0.3594 0.7821
O12 O 0.1539 0.0801 0.0226
```